(1)
The following is a DFT calculation (PBE) of crystalline SmPaAs2O8 at its relaxed geometry.

Summary:
- formation energy (no corrections) (eV/f.u.) = -28.155
- calculated volume (Å³ per cell) = 350.9
- raw total energy (eV for the cell shown) = -182.7
- crystal system = tetragonal
- D(E_F) (states/eV per cell) = 0.00

abc: 7.210 7.210 6.751
angles: 90.00 90.00 90.00
Space group I-4m2 (No. 119)
Unique sites:
Sm1 0.000 0.000 0.000 (multiplicity 2)
Pa1 0.000 0.500 0.750 (multiplicity 2)
As1 0.000 0.000 0.500 (multiplicity 2)
As2 0.000 0.500 0.250 (multiplicity 2)
O1 0.000 0.202 0.704 (multiplicity 8)
O2 0.000 0.323 0.079 (multiplicity 8)

---

(2)
The following is a DFT calculation (PBE) of crystalline ThAlCu2Au4 at its relaxed geometry.

Summary:
- calculated volume (Å³ per cell) = 447.2
- raw total energy (eV for the cell shown) = -105.9
- crystal system = trigonal
- D(E_F) (states/eV per cell) = 13.19

abc: 4.4514 4.4514 26.0590
angles: 90.00 90.00 120.00
Space group R-3m (No. 166, hexagonal axes)
Unique sites:
Th1 0.0000 0.0000 0.0000 (multiplicity 3)
Al1 0.0000 0.0000 0.5000 (multiplicity 3)
Cu1 0.0000 0.0000 0.2401 (multiplicity 6)
Au1 0.0000 0.0000 0.1310 (multiplicity 6)
Au2 0.0000 0.0000 0.3973 (multiplicity 6)

---

(3)
The following is a DFT calculation (PBE) of crystalline MgPbC3 at its relaxed geometry.

Summary:
- ΔE to the lowest computed polymorph (meV per atom) = 434.9
- calculated volume (Å³ per cell) = 89.9
- raw total energy (eV for the cell shown) = -17.6
- crystal system = cubic
- D(E_F) (states/eV per cell) = 3.69

abc: 4.480 4.480 4.480
angles: 90.00 90.00 90.00
Space group Pm-3m (No. 221)
Unique sites:
Mg1 0.000 0.000 0.000 (multiplicity 1)
Pb1 0.500 0.500 0.500 (multiplicity 1)
C1 0.000 0.500 0.500 (multiplicity 3)

---

(4)
The following is a DFT calculation (PBE) of crystalline SrEuGaBiO6 at its relaxed geometry.

Summary:
- formation energy (no corrections) (eV/f.u.) = -19.296
- calculated volume (Å³ per cell) = 550.7
- raw total energy (eV for the cell shown) = -271.6
- crystal system = cubic
- D(E_F) (states/eV per cell) = 55.84

abc: 8.197 8.197 8.197
angles: 90.00 90.00 90.00
Space group F-43m (No. 216)
Unique sites:
Sr1 0.000 0.000 0.000 (multiplicity 4)
Eu1 0.000 0.000 0.500 (multiplicity 4)
Ga1 0.250 0.250 0.250 (multiplicity 4)
Bi1 0.250 0.250 0.750 (multiplicity 4)
O1 0.009 0.250 0.250 (multiplicity 24)

---

(5)
The following is a DFT calculation (PBE) of crystalline Co2AsOs at its relaxed geometry.

Summary:
- calculated volume (Å³ per cell) = 158.3
- raw total energy (eV for the cell shown) = -86.3
- crystal system = trigonal
- D(E_F) (states/eV per cell) = 12.78

abc: 2.7740 2.7740 23.7559
angles: 90.00 90.00 120.00
Space group R3m (No. 160, hexagonal axes)
Unique sites:
Co1 0.0000 0.0000 0.0000 (multiplicity 3)
Co2 0.0000 0.0000 0.2530 (multiplicity 3)
As1 0.0000 0.0000 0.5072 (multiplicity 3)
Os1 0.0000 0.0000 0.7521 (multiplicity 3)

---

(6)
The following is a DFT calculation (PBE) of crystalline LiPd2W at its relaxed geometry.

Summary:
- calculated volume (Å³ per cell) = 248.3
- raw total energy (eV for the cell shown) = -92.6
- crystal system = tetragonal
- D(E_F) (states/eV per cell) = 30.27

abc: 6.754 6.754 5.442
angles: 90.00 90.00 90.00
Space group I-42d (No. 122)
Unique sites:
Li1 0.000 0.000 0.000 (multiplicity 4)
Pd1 0.232 0.250 0.125 (multiplicity 8)
W1 0.000 0.000 0.500 (multiplicity 4)

---

(7)
The following is a DFT calculation (PBE) of crystalline PaZn9Au3 at its relaxed geometry.

Summary:
- calculated volume (Å³ per cell) = 442.5
- raw total energy (eV for the cell shown) = -64.7
- crystal system = monoclinic
- D(E_F) (states/eV per cell) = 19.16

abc: 5.415 12.755 6.937
angles: 90.00 112.54 90.00
Space group C2/m (No. 12)
Unique sites:
Pa1 0.000 0.000 0.000 (multiplicity 2)
Zn1 0.000 0.500 0.500 (multiplicity 2)
Zn2 0.098 0.396 0.214 (multiplicity 8)
Zn3 0.186 0.177 0.359 (multiplicity 8)
Au1 0.000 0.000 0.500 (multiplicity 2)
Au2 0.250 0.250 0.000 (multiplicity 4)

---

(8)
The following is a DFT calculation (PBE) of crystalline RuC3 at its relaxed geometry.

Summary:
- ΔE to the lowest computed polymorph (meV per atom) = 7.8
- calculated volume (Å³ per cell) = 192.1
- raw total energy (eV for the cell shown) = -133.2
- crystal system = orthorhombic
- D(E_F) (states/eV per cell) = 6.06

abc: 7.285 10.407 2.534
angles: 90.00 90.00 90.00
Space group Cmcm (No. 63)
Unique sites:
Ru1 0.000 0.110 0.250 (multiplicity 4)
C1 0.000 0.498 0.750 (multiplicity 4)
C2 0.216 0.230 0.250 (multiplicity 8)

---

- The lowest D(E_F) belongs to which entry?
  SmPaAs2O8

---

- The lowest calculated volume belongs to which entry?
  MgPbC3

---

- What is the formula in the second record?
  ThAlCu2Au4

---

Repeat the third record exactly.
The following is a DFT calculation (PBE) of crystalline MgPbC3 at its relaxed geometry.

Summary:
- ΔE to the lowest computed polymorph (meV per atom) = 434.9
- calculated volume (Å³ per cell) = 89.9
- raw total energy (eV for the cell shown) = -17.6
- crystal system = cubic
- D(E_F) (states/eV per cell) = 3.69

abc: 4.480 4.480 4.480
angles: 90.00 90.00 90.00
Space group Pm-3m (No. 221)
Unique sites:
Mg1 0.000 0.000 0.000 (multiplicity 1)
Pb1 0.500 0.500 0.500 (multiplicity 1)
C1 0.000 0.500 0.500 (multiplicity 3)